(i)
# NbVHRu2 (PBE, relaxed)
# **M_tot**: 0.01 μB per atom
data_NbVHRu2
_chemical_formula_sum 'Nb1 V1 H1 Ru2'
_symmetry_space_group_name_H-M 'P 4/m m m'
_symmetry_Int_Tables_number 123
_symmetry_space_group_name_Hall '-P 4 2'
_cell_length_a 3.959
_cell_length_b 3.959
_cell_length_c 3.956
_cell_angle_alpha 90.00
_cell_angle_beta 90.00
_cell_angle_gamma 90.00
loop_
_atom_site_label
_atom_site_type_symbol
_atom_site_fract_x
_atom_site_fract_y
_atom_site_fract_z
Nb1 Nb 0.000 0.000 0.000
V1 V 0.500 0.500 0.000
H1 H 0.000 0.000 0.500
Ru1 Ru 0.000 0.500 0.500

***

(ii)
# NbVHRu2 (PBE, relaxed)
# **M_tot**: 0.00 μB per atom
data_NbVHRu2
_chemical_formula_sum 'Nb1 V1 H1 Ru2'
_symmetry_space_group_name_H-M 'P 4/m m m'
_symmetry_Int_Tables_number 123
_symmetry_space_group_name_Hall '-P 4 2'
_cell_length_a 3.998
_cell_length_b 3.998
_cell_length_c 3.846
_cell_angle_alpha 90.00
_cell_angle_beta 90.00
_cell_angle_gamma 90.00
loop_
_atom_site_label
_atom_site_type_symbol
_atom_site_fract_x
_atom_site_fract_y
_atom_site_fract_z
Nb1 Nb 0.000 0.000 0.000
V1 V 0.500 0.500 0.000
H1 H 0.500 0.500 0.500
Ru1 Ru 0.000 0.500 0.500

***

Which structure loses on stability? (i) does.

***

(i)
# NbHRu2W (PBE, relaxed)
# **M_tot**: 0.00 μB per atom
data_NbHRu2W
_chemical_formula_sum 'Nb1 H1 Ru2 W1'
_symmetry_space_group_name_H-M 'P 4/m m m'
_symmetry_Int_Tables_number 123
_symmetry_space_group_name_Hall '-P 4 2'
_cell_length_a 3.986
_cell_length_b 3.986
_cell_length_c 4.022
_cell_angle_alpha 90.00
_cell_angle_beta 90.00
_cell_angle_gamma 90.00
loop_
_atom_site_label
_atom_site_type_symbol
_atom_site_fract_x
_atom_site_fract_y
_atom_site_fract_z
Nb1 Nb 0.000 0.000 0.000
H1 H 0.000 0.000 0.500
Ru1 Ru 0.000 0.500 0.500
W1 W 0.500 0.500 0.000

***

(ii)
# NbHRu2W (PBE, relaxed)
# **M_tot**: 0.00 μB per atom
data_NbHRu2W
_chemical_formula_sum 'Nb1 H1 Ru2 W1'
_symmetry_space_group_name_H-M 'P 4/m m m'
_symmetry_Int_Tables_number 123
_symmetry_space_group_name_Hall '-P 4 2'
_cell_length_a 3.996
_cell_length_b 3.996
_cell_length_c 4.007
_cell_angle_alpha 90.00
_cell_angle_beta 90.00
_cell_angle_gamma 90.00
loop_
_atom_site_label
_atom_site_type_symbol
_atom_site_fract_x
_atom_site_fract_y
_atom_site_fract_z
Nb1 Nb 0.000 0.000 0.000
H1 H 0.500 0.500 0.500
Ru1 Ru 0.000 0.500 0.500
W1 W 0.500 0.500 0.000

***

Which structure loses on stability? (ii) does.

***

(i)
# Nb2ZnHRu (PBE, relaxed)
# **M_tot**: 0.00 μB per atom
data_Nb2ZnHRu
_chemical_formula_sum 'Nb2 Zn1 H1 Ru1'
_symmetry_space_group_name_H-M 'P 4/m m m'
_symmetry_Int_Tables_number 123
_symmetry_space_group_name_Hall '-P 4 2'
_cell_length_a 4.052
_cell_length_b 4.052
_cell_length_c 4.044
_cell_angle_alpha 90.00
_cell_angle_beta 90.00
_cell_angle_gamma 90.00
loop_
_atom_site_label
_atom_site_type_symbol
_atom_site_fract_x
_atom_site_fract_y
_atom_site_fract_z
Nb1 Nb 0.000 0.500 0.000
Zn1 Zn 0.000 0.000 0.500
H1 H 0.000 0.000 0.000
Ru1 Ru 0.500 0.500 0.500

***

(ii)
# Nb2ZnHRu (PBE, relaxed)
# **M_tot**: 0.00 μB per atom
data_Nb2ZnHRu
_chemical_formula_sum 'Nb2 Zn1 H1 Ru1'
_symmetry_space_group_name_H-M 'P 4/m m m'
_symmetry_Int_Tables_number 123
_symmetry_space_group_name_Hall '-P 4 2'
_cell_length_a 4.109
_cell_length_b 4.109
_cell_length_c 3.951
_cell_angle_alpha 90.00
_cell_angle_beta 90.00
_cell_angle_gamma 90.00
loop_
_atom_site_label
_atom_site_type_symbol
_atom_site_fract_x
_atom_site_fract_y
_atom_site_fract_z
Nb1 Nb 0.000 0.500 0.000
Zn1 Zn 0.000 0.000 0.500
H1 H 0.500 0.500 0.000
Ru1 Ru 0.500 0.500 0.500

***

Which structure loses on stability? (i) does.

***

(i)
# Nb2HS (PBE, relaxed)
# **M_tot**: 0.00 μB per atom
data_Nb2HS
_chemical_formula_sum 'Nb6 H3 S3'
_symmetry_space_group_name_H-M 'R -3 m'
_symmetry_Int_Tables_number 166
_symmetry_space_group_name_Hall '-R 3 2"'
_cell_length_a 3.5129
_cell_length_b 3.5129
_cell_length_c 18.3449
_cell_angle_alpha 90.00
_cell_angle_beta 90.00
_cell_angle_gamma 120.00
loop_
_atom_site_label
_atom_site_type_symbol
_atom_site_fract_x
_atom_site_fract_y
_atom_site_fract_z
Nb1 Nb 0.0000 0.0000 0.0986
H1 H 0.0000 0.0000 0.0000
S1 S 0.0000 0.0000 0.5000

***

(ii)
# Nb2HS (PBE, relaxed)
# **M_tot**: 0.00 μB per atom
data_Nb2HS
_chemical_formula_sum 'Nb8 H4 S4'
_symmetry_space_group_name_H-M 'F m -3 m'
_symmetry_Int_Tables_number 225
_symmetry_space_group_name_Hall '-F 4 2 3'
_cell_length_a 5.944
_cell_length_b 5.944
_cell_length_c 5.944
_cell_angle_alpha 90.00
_cell_angle_beta 90.00
_cell_angle_gamma 90.00
loop_
_atom_site_label
_atom_site_type_symbol
_atom_site_fract_x
_atom_site_fract_y
_atom_site_fract_z
Nb1 Nb 0.250 0.250 0.250
H1 H 0.000 0.000 0.000
S1 S 0.000 0.000 0.500

***

Which structure loses on stability? (ii) does.

***

(i)
# NbHS3 (PBE, relaxed)
# **M_tot**: 0.00 μB per atom
data_NbHS3
_chemical_formula_sum 'Nb1 H1 S3'
_symmetry_space_group_name_H-M 'P m -3 m'
_symmetry_Int_Tables_number 221
_symmetry_space_group_name_Hall '-P 4 2 3'
_cell_length_a 4.039
_cell_length_b 4.039
_cell_length_c 4.039
_cell_angle_alpha 90.00
_cell_angle_beta 90.00
_cell_angle_gamma 90.00
loop_
_atom_site_label
_atom_site_type_symbol
_atom_site_fract_x
_atom_site_fract_y
_atom_site_fract_z
Nb1 Nb 0.000 0.000 0.000
H1 H 0.500 0.500 0.500
S1 S 0.000 0.500 0.500

***

(ii)
# NbHS3 (PBE, relaxed)
# **M_tot**: 0.20 μB per atom
data_NbHS3
_chemical_formula_sum 'Nb1 H1 S3'
_symmetry_space_group_name_H-M 'P m -3 m'
_symmetry_Int_Tables_number 221
_symmetry_space_group_name_Hall '-P 4 2 3'
_cell_length_a 4.801
_cell_length_b 4.801
_cell_length_c 4.801
_cell_angle_alpha 90.00
_cell_angle_beta 90.00
_cell_angle_gamma 90.00
loop_
_atom_site_label
_atom_site_type_symbol
_atom_site_fract_x
_atom_site_fract_y
_atom_site_fract_z
Nb1 Nb 0.000 0.000 0.000
H1 H 0.500 0.500 0.500
S1 S 0.000 0.000 0.500

***

Which structure loses on stability? (i) does.

***

(i)
# NbTeHS (PBE, relaxed)
# **M_tot**: 0.00 μB per atom
data_NbTeHS
_chemical_formula_sum 'Nb1 Te1 H1 S1'
_symmetry_space_group_name_H-M 'P 1'
_symmetry_Int_Tables_number 1
_symmetry_space_group_name_Hall 'P 1'
_cell_length_a 3.481
_cell_length_b 3.482
_cell_length_c 7.434
_cell_angle_alpha 76.92
_cell_angle_beta 76.59
_cell_angle_gamma 60.01
loop_
_atom_site_label
_atom_site_type_symbol
_atom_site_fract_x
_atom_site_fract_y
_atom_site_fract_z
Nb1 Nb 0.000 0.000 0.000
Te1 Te 0.762 0.756 0.717
H1 H 0.341 0.341 0.976
S1 S 0.593 0.599 0.217

***

(ii)
# NbTeHS (PBE, relaxed)
# **M_tot**: 0.00 μB per atom
data_NbTeHS
_chemical_formula_sum 'Nb1 Te1 H1 S1'
_symmetry_space_group_name_H-M 'P 1'
_symmetry_Int_Tables_number 1
_symmetry_space_group_name_Hall 'P 1'
_cell_length_a 3.253
_cell_length_b 3.401
_cell_length_c 7.331
_cell_angle_alpha 90.54
_cell_angle_beta 90.34
_cell_angle_gamma 90.00
loop_
_atom_site_label
_atom_site_type_symbol
_atom_site_fract_x
_atom_site_fract_y
_atom_site_fract_z
Nb1 Nb 0.000 0.000 0.000
Te1 Te 0.996 0.494 0.695
H1 H 0.498 0.997 0.869
S1 S 0.502 0.503 0.153

***

Which structure loses on stability? (ii) does.

***

(i)
# NbSiSbH (PBE, relaxed)
# **M_tot**: 0.00 μB per atom
data_NbSiSbH
_chemical_formula_sum 'Nb2 Si2 Sb2 H2'
_symmetry_space_group_name_H-M 'C 1 m 1'
_symmetry_Int_Tables_number 8
_symmetry_space_group_name_Hall 'C -2y'
_cell_length_a 4.674
_cell_length_b 3.810
_cell_length_c 8.669
_cell_angle_alpha 90.00
_cell_angle_beta 103.15
_cell_angle_gamma 90.00
loop_
_atom_site_label
_atom_site_type_symbol
_atom_site_fract_x
_atom_site_fract_y
_atom_site_fract_z
Nb1 Nb 0.000 0.000 0.000
Si1 Si 0.436 0.000 0.797
Sb1 Sb 0.256 0.500 0.276
H1 H 0.358 0.000 0.620

***

(ii)
# NbSiSbH (PBE, relaxed)
# **M_tot**: 0.00 μB per atom
data_NbSiSbH
_chemical_formula_sum 'Nb2 Si2 Sb2 H2'
_symmetry_space_group_name_H-M 'A m m 2'
_symmetry_Int_Tables_number 38
_symmetry_space_group_name_Hall 'A 2 -2'
_cell_length_a 3.566
_cell_length_b 3.304
_cell_length_c 11.703
_cell_angle_alpha 90.00
_cell_angle_beta 90.00
_cell_angle_gamma 90.00
loop_
_atom_site_label
_atom_site_type_symbol
_atom_site_fract_x
_atom_site_fract_y
_atom_site_fract_z
Nb1 Nb 0.000 0.000 0.000
Si1 Si 0.500 0.000 0.411
Sb1 Sb 0.500 0.000 0.190
H1 H 0.000 0.000 0.580

***

Which structure loses on stability? (ii) does.

***

(i)
# NbSb2TeH (PBE, relaxed)
# **M_tot**: 0.00 μB per atom
data_NbSb2TeH
_chemical_formula_sum 'Nb1 Sb2 Te1 H1'
_symmetry_space_group_name_H-M 'P 4/m m m'
_symmetry_Int_Tables_number 123
_symmetry_space_group_name_Hall '-P 4 2'
_cell_length_a 4.317
_cell_length_b 4.317
_cell_length_c 5.491
_cell_angle_alpha 90.00
_cell_angle_beta 90.00
_cell_angle_gamma 90.00
loop_
_atom_site_label
_atom_site_type_symbol
_atom_site_fract_x
_atom_site_fract_y
_atom_site_fract_z
Nb1 Nb 0.000 0.000 0.000
Sb1 Sb 0.000 0.500 0.500
Te1 Te 0.500 0.500 0.000
H1 H 0.500 0.500 0.500

***

(ii)
# NbSb2TeH (PBE, relaxed)
# **M_tot**: 0.15 μB per atom
data_NbSb2TeH
_chemical_formula_sum 'Nb1 Sb2 Te1 H1'
_symmetry_space_group_name_H-M 'P 4/m m m'
_symmetry_Int_Tables_number 123
_symmetry_space_group_name_Hall '-P 4 2'
_cell_length_a 5.387
_cell_length_b 5.387
_cell_length_c 5.417
_cell_angle_alpha 90.00
_cell_angle_beta 90.00
_cell_angle_gamma 90.00
loop_
_atom_site_label
_atom_site_type_symbol
_atom_site_fract_x
_atom_site_fract_y
_atom_site_fract_z
Nb1 Nb 0.000 0.000 0.000
Sb1 Sb 0.000 0.500 0.000
Te1 Te 0.000 0.000 0.500
H1 H 0.500 0.500 0.500

***

Which structure loses on stability? (ii) does.